# 1
DFT (PBE with a Hubbard U) results for VAg2AsO6 after structural relaxation.

```
VAg2AsO6
1.0
5.0233 0.0000 0.0000
0.0000 5.0233 0.0000
0.0000 0.0000 5.0925
V Ag As O
1 2 1 6
direct
0.0000 0.0000 0.0000
0.0000 0.5000 0.4820
0.5000 0.0000 0.4820
0.5000 0.5000 0.9943
0.0000 0.0000 0.6722
0.2552 0.2552 0.1038
0.2552 0.7448 0.1038
0.5000 0.5000 0.6562
0.7448 0.2552 0.1038
0.7448 0.7448 0.1038
```

Properties
final energy: -57.106 eV for the cell shown
theoretical density: 5.7 Mg/m³
distance to the lowest polymorph of the same formula: 0.127 eV per atom

# 2
DFT (PBE with a Hubbard U) results for VAg2AsO6 after structural relaxation.

```
VAg2AsO6
1.0
6.5126 0.0000 0.0000
0.1524 6.5272 0.0000
0.2651 3.2244 6.6183
V Ag As O
2 4 2 12
direct
0.0733 0.1090 0.2749
0.9267 0.8910 0.7251
0.3816 0.1153 0.8033
0.4229 0.7158 0.6217
0.5771 0.2842 0.3783
0.6184 0.8847 0.1967
0.1515 0.6511 0.1866
0.8485 0.3489 0.8134
0.0050 0.8156 0.2738
0.0097 0.4067 0.2654
0.1826 0.7888 0.9258
0.1976 0.9912 0.5092
0.2671 0.1800 0.1073
0.3897 0.5971 0.2940
0.6103 0.4029 0.7060
0.7329 0.8200 0.8927
0.8024 0.0088 0.4908
0.8174 0.2112 0.0742
0.9903 0.5933 0.7346
0.9950 0.1844 0.7262
```

Properties
final energy: -116.760 eV for the cell shown
theoretical density: 5.2 Mg/m³
distance to the lowest polymorph of the same formula: 0.000 eV per atom

# 3
DFT (PBE with a Hubbard U) results for V2AgAsO8 after structural relaxation.

```
V2AgAsO8
1.0
5.4998 0.0000 0.0000
-2.7499 4.7630 0.0000
0.0000 0.0000 6.5683
V Ag As O
2 1 1 8
direct
0.3333 0.6667 0.2523
0.6667 0.3333 0.7477
0.0000 0.0000 0.0000
0.0000 0.0000 0.5000
0.1542 0.3083 0.3322
0.1542 0.8458 0.3322
0.3083 0.1542 0.6678
0.3333 0.6667 0.0036
0.6667 0.3333 0.9964
0.6917 0.8458 0.3322
0.8458 0.1542 0.6678
0.8458 0.6917 0.6678
```

Properties
final energy: -77.886 eV for the cell shown
D(E_F): 0.000 states/eV/f.u.
theoretical density: 4.0 Mg/m³

# 4
DFT (PBE with a Hubbard U) results for AgAsWO6 after structural relaxation.

```
AgAsWO6
1.0
5.1393 0.0000 0.0000
-2.5697 4.4508 0.0000
0.0000 0.0000 10.5731
Ag As W O
2 2 2 12
direct
0.0000 0.0000 0.0000
0.0000 0.0000 0.5000
0.3333 0.6667 0.2500
0.6667 0.3333 0.7500
0.3333 0.6667 0.7500
0.6667 0.3333 0.2500
0.0122 0.3897 0.1496
0.0122 0.6225 0.3504
0.3775 0.3897 0.3504
0.3775 0.9878 0.1496
0.3897 0.0122 0.6496
0.3897 0.3775 0.8504
0.6103 0.6225 0.1496
0.6103 0.9878 0.3504
0.6225 0.0122 0.8504
0.6225 0.6103 0.6496
0.9878 0.3775 0.6496
0.9878 0.6103 0.8504
```

Properties
final energy: -111.954 eV for the cell shown
theoretical density: 6.4 Mg/m³